# 1
CaCrF6: PBEsol geometry, meta-GGA SCAN.

Lattice parameters (Å, degrees): 5.352 5.352 5.643 61.69 61.69 60.00
Each line ends with the local moment (μB).
Positions (direct):
F 0.781 0.109 0.776  0.01
F 0.334 0.781 0.776  0.01
F 0.109 0.334 0.776  0.01
F 0.891 0.666 0.224  0.01
F 0.219 0.891 0.224  0.01
F 0.666 0.219 0.224  0.01
Cr 0.000 0.000 0.000  1.90
Ca 0.500 0.500 0.500  0.00

Computed properties:
Formation energy without anion corrections: -3282 meV/atom
Symmetry: R-3 (148)
Calculated volume: 117.1 Å³/cell

***

# 2
BaWAu2: PBEsol geometry, meta-GGA SCAN.

Lattice parameters (Å, degrees): 3.036 3.036 9.027 90.00 90.00 90.00
Positions (direct):
W 0.500 0.500 0.801
Au 0.500 0.500 0.207
Au 0.000 0.000 0.995
Ba 0.000 0.000 0.498

Computed properties:
Distance to the lowest polymorph of the same formula: 120 meV per atom
DOS at the Fermi energy: 1.007 states/eV/f.u.
Symmetry: P4mm (99)
DFT formation energy: 0.565 eV per atom
Calculated volume: 83.2 Å³/cell

***

# 3
MgRh2: PBEsol geometry, meta-GGA SCAN.

Lattice parameters (Å, degrees): 2.767 5.107 6.485 102.90 90.00 105.72
Positions (direct):
Mg 0.994 0.987 0.986
Mg 0.675 0.350 0.347
Rh 0.723 0.446 0.945
Rh 0.394 0.787 0.279
Rh 0.329 0.659 0.663
Rh 0.052 0.104 0.613

Computed properties:
DOS at the Fermi energy: 2.343 states/eV/f.u.
Symmetry: Cm (8)
DFT formation energy: -0.300 eV per atom
Calculated volume: 85.8 Å³/cell

***

# 4
SrMoNO2: PBEsol geometry, meta-GGA SCAN.

Lattice parameters (Å, degrees): 3.951 3.941 3.941 90.00 90.00 90.00
Positions (direct):
Sr 0.500 0.500 0.500
O 0.000 0.000 0.500
O 0.000 0.500 0.000
Mo 0.000 0.000 0.000
N 0.500 0.000 0.000

Computed properties:
Formation energy without anion corrections: -2049 meV/atom
DOS at the Fermi energy: 1.252 states/eV/f.u.
Symmetry: P4/mmm (123)
Calculated volume: 61.3 Å³/cell

***

# 5
SnHgAs2Br: PBEsol geometry, meta-GGA SCAN.

Lattice parameters (Å, degrees): 5.073 5.073 5.524 90.00 90.00 90.00
Each line ends with the local moment (μB).
Positions (direct):
Hg 0.000 0.000 0.000  0.01
Sn 0.500 0.500 0.500  -0.08
As 0.000 0.500 0.000  0.25
As 0.500 0.000 0.000  0.25
Br 0.000 0.000 0.500  0.09

Computed properties:
Formation energy without anion corrections: 679 meV/atom
DOS at the Fermi energy: 3.140 states/eV/f.u.
Symmetry: P4/mmm (123)
Calculated volume: 142.2 Å³/cell

***

# 6
BeAlFe2: PBEsol geometry, meta-GGA SCAN.

Lattice parameters (Å, degrees): 3.322 3.557 3.641 90.00 90.00 90.00
Each line ends with the local moment (μB).
Positions (direct):
Al 0.500 0.500 0.000  -0.06
Be 0.000 0.500 0.500  -0.10
Fe 0.500 0.000 0.500  2.33
Fe 0.000 0.000 0.000  2.15

Computed properties:
DOS at the Fermi energy: 1.944 states/eV/f.u.
Symmetry: Pmmm (47)
DFT formation energy: -0.240 eV per atom
Calculated volume: 43.0 Å³/cell

***

# 7
Rb2CrAg: PBEsol geometry, meta-GGA SCAN.

Lattice parameters (Å, degrees): 5.945 5.945 5.945 60.00 60.00 60.00
Each line ends with the local moment (μB).
Positions (direct):
Rb 0.250 0.250 0.250  0.01
Rb 0.750 0.750 0.750  0.01
Cr 0.000 0.000 0.000  4.43
Ag 0.500 0.500 0.500  0.00

Computed properties:
DOS at the Fermi energy: 0.846 states/eV/f.u.
Symmetry: Fm-3m (225)
DFT formation energy: 0.590 eV per atom
Calculated volume: 148.6 Å³/cell

***

# 8
CaMg2: PBEsol geometry, meta-GGA SCAN.

Lattice parameters (Å, degrees): 3.521 3.521 7.992 90.00 90.00 120.00
Positions (direct):
Ca 0.000 0.000 0.000
Mg 0.667 0.333 0.347
Mg 0.333 0.667 0.653

Computed properties:
DOS at the Fermi energy: 2.306 states/eV/f.u.
Symmetry: P-3m1 (164)
DFT formation energy: 0.099 eV per atom
Calculated volume: 85.8 Å³/cell

***

# 9
SrPb5: PBEsol geometry, meta-GGA SCAN.

Lattice parameters (Å, degrees): 4.948 5.026 7.690 90.00 108.77 90.00
Positions (direct):
Pb 0.331 0.500 0.662
Pb 0.173 0.000 0.346
Pb 0.000 0.500 0.000
Pb 0.669 0.500 0.338
Pb 0.827 0.000 0.654
Sr 0.500 0.000 0.000

Computed properties:
DOS at the Fermi energy: 2.956 states/eV/f.u.
Symmetry: Cmmm (65)
DFT formation energy: -0.276 eV per atom
Calculated volume: 181.1 Å³/cell

***

# 10
ScFeBr: PBEsol geometry, meta-GGA SCAN.

Lattice parameters (Å, degrees): 4.454 4.454 4.454 60.00 60.00 60.00
Each line ends with the local moment (μB).
Positions (direct):
Br 0.000 0.000 0.000  0.06
Fe 0.500 0.500 0.500  2.32
Sc 0.250 0.250 0.250  -0.38

Computed properties:
Formation energy without anion corrections: 241 meV/atom
DOS at the Fermi energy: 0.871 states/eV/f.u.
Symmetry: F-43m (216)
Calculated volume: 62.5 Å³/cell

***

# 11
Ca2Mg3Zn: PBEsol geometry, meta-GGA SCAN.

Lattice parameters (Å, degrees): 6.066 6.066 9.447 90.00 90.00 120.00
Positions (direct):
Ca 0.333 0.667 0.559
Ca 0.333 0.667 0.941
Ca 0.667 0.333 0.441
Ca 0.667 0.333 0.059
Mg 0.672 0.836 0.250
Mg 0.328 0.164 0.750
Mg 0.164 0.328 0.250
Mg 0.836 0.164 0.750
Mg 0.164 0.836 0.250
Mg 0.836 0.672 0.750
Zn 0.000 0.000 0.000
Zn 0.000 0.000 0.500

Computed properties:
Distance to the lowest polymorph of the same formula: 0 meV per atom
DOS at the Fermi energy: 3.285 states/eV/f.u.
Symmetry: P6_3/mmc (194)
DFT formation energy: -0.166 eV per atom
Calculated volume: 301.0 Å³/cell

***

# 12
ZrBe3Fe: PBEsol geometry, meta-GGA SCAN.

Lattice parameters (Å, degrees): 3.907 3.907 3.907 90.00 90.00 90.00
Positions (direct):
Be 0.500 0.000 0.000
Be 0.000 0.500 0.000
Be 0.000 0.000 0.500
Zr 0.500 0.500 0.500
Fe 0.000 0.000 0.000

Computed properties:
DOS at the Fermi energy: 2.418 states/eV/f.u.
Symmetry: Pm-3m (221)
DFT formation energy: 0.061 eV per atom
Calculated volume: 59.6 Å³/cell